Ba4Tl2Zn | GGA-PBE | relaxed

Cell lengths 19.5509, 4.7007, 7.5085 Å; angles 90.00, 111.31, 90.00 degrees
Last column: nearest neighbours and their distance in Å.
Space group C2/m (No. 12)
Asymmetric unit:
Ba: 0.0999 0.0000 0.4735 [4 per cell]  1 Zn 3.38, 3 Tl 3.50-3.56
Ba: 0.1367 0.5000 0.0064 [4 per cell]  2 Zn 3.55, 3 Tl 3.60-3.93
Tl: 0.2455 0.5000 0.6573 [4 per cell]  2 Tl 3.38, 5 Ba 3.50-3.60
Zn: 0.0000 0.0000 0.0000 [2 per cell]  6 Ba 3.38-3.55

Computed properties:
Density of states at the Fermi level = 0.943 states/eV/atom
ΔE to the lowest computed polymorph = 0.081 eV/atom
Total DFT energy (no corrections) = -29.92 eV per cell
Magnetic moment = 0.00 μB/f.u.
Formation energy = -0.180 eV/atom

NiSn2Cl | GGA-PBE | relaxed

Cell lengths 6.9343, 6.9343, 6.9343 Å; angles 90.00, 90.00, 90.00 degrees
Last column: nearest neighbours and their distance in Å.
Space group Fm-3m (No. 225)
Asymmetric unit:
Ni: 0.0000 0.0000 0.0000 [4 per cell]  8 Sn 3.00
Sn: 0.2500 0.2500 0.2500 [8 per cell]  4 Cl 3.00, 4 Ni 3.00
Cl: 0.0000 0.0000 0.5000 [4 per cell]  8 Sn 3.00

Computed properties:
Density of states at the Fermi level = 0.776 states/eV/atom
ΔE to the lowest computed polymorph = 0.198 eV/atom
Total DFT energy (no corrections) = -60.24 eV per cell
Magnetic moment = 0.00 μB/f.u.
Formation energy (no corrections) = 13.9 kJ per mole of atoms

SmPt4 | GGA-PBE | relaxed

Cell lengths 4.3430, 5.9221, 14.0103 Å; angles 90.00, 90.00, 90.00 degrees
Last column: nearest neighbours and their distance in Å.
Space group Imma (No. 74)
Asymmetric unit:
Sm: 0.0000 0.2500 0.1084 [4 per cell]  13 Pt 2.96-3.19
Pt: 0.0000 0.0000 0.5000 [4 per cell]  8 Pt 2.73-3.04, 4 Sm 3.04
Pt: 0.0000 0.0221 0.6948 [8 per cell]  6 Pt 2.67-2.83, 2 Sm 2.96
Pt: 0.0000 0.2500 0.8915 [4 per cell]  10 Pt 2.83-3.07, 3 Sm 2.96-3.04

Computed properties:
Density of states at the Fermi level = 0.918 states/eV/atom
ΔE to the lowest computed polymorph = 0.000 eV/atom
Total DFT energy (no corrections) = -130.07 eV per cell
Magnetic moment = 0.00 μB/f.u.
Formation energy = -0.727 eV/atom

Zn3CdGa2Ag2S8 | GGA-PBE | relaxed

Cell lengths 6.4792, 6.7539, 7.9793 Å; angles 89.84, 89.95, 89.91 degrees
Last column: nearest neighbours and their distance in Å.
Space group P1 (No. 1)
Asymmetric unit:
Zn: 0.0000 0.0000 0.0000 [1 per cell]  4 S 2.36-2.40
Zn: 0.0015 0.0086 0.5028 [1 per cell]  4 S 2.37-2.40
Zn: 0.5003 0.3417 0.5020 [1 per cell]  4 S 2.33-2.37
Cd: 0.4984 0.3414 0.0046 [1 per cell]  4 S 2.54-2.56
Ga: 0.9995 0.4963 0.7472 [1 per cell]  4 S 2.30-2.33
Ga: 0.5036 0.8536 0.2583 [1 per cell]  4 S 2.29-2.32
Ag: 0.0012 0.5216 0.2584 [1 per cell]  4 S 2.56-2.58
Ag: 0.4894 0.8393 0.7456 [1 per cell]  4 S 2.53-2.57
S: 0.0986 0.8280 0.7501 [1 per cell]  1 Ga 2.33, 2 Zn 2.40, 1 Ag 2.53
S: 0.1038 0.3364 0.9878 [1 per cell]  1 Ga 2.30, 1 Zn 2.37, 1 Cd 2.56
S: 0.1350 0.3350 0.5176 [1 per cell]  1 Ga 2.31, 2 Zn 2.37, 1 Ag 2.57
S: 0.1455 0.8749 0.2532 [1 per cell]  1 Ga 2.32, 2 Zn 2.38, 1 Ag 2.56
S: 0.6063 0.5279 0.2678 [1 per cell]  1 Ga 2.30, 1 Zn 2.35, 1 Cd 2.55, 1 Ag 2.56
S: 0.6347 0.0177 0.4873 [1 per cell]  1 Ga 2.30, 2 Zn 2.36-2.38, 1 Ag 2.56
S: 0.6358 0.9873 0.0166 [1 per cell]  1 Ga 2.29, 1 Zn 2.36, 1 Cd 2.55, 1 Ag 2.57
S: 0.6447 0.4899 0.7377 [1 per cell]  1 Ga 2.30, 1 Zn 2.33, 1 Cd 2.54, 1 Ag 2.56

Computed properties:
Total DFT energy (no corrections) = -59.57 eV per cell
Magnetic moment = 0.00 μB/f.u.
Formation energy (no corrections) = -60.7 kJ per mole of atoms

Sc2Si2NiRh5 | GGA-PBE | relaxed

Cell lengths 9.3987, 9.3987, 3.4031 Å; angles 90.00, 90.00, 90.00 degrees
Last column: nearest neighbours and their distance in Å.
Space group P4/mbm (No. 127)
Asymmetric unit:
Sc: 0.1721 0.3279 0.0000 [4 per cell]  3 Si 2.64-2.86, 2 Rh 2.85
Si: 0.1295 0.6295 0.0000 [4 per cell]  6 Rh 2.37-2.42, 1 Sc 2.64
Ni: 0.0000 0.0000 0.0000 [2 per cell]  8 Rh 2.65
Rh: 0.0000 0.5000 0.5000 [2 per cell]  4 Si 2.42
Rh: 0.0693 0.7951 0.5000 [8 per cell]  2 Si 2.37, 2 Ni 2.65

Computed properties:
Density of states at the Fermi level = 0.936 states/eV/atom
Total DFT energy (no corrections) = -148.11 eV per cell
Magnetic moment = 0.62 μB/f.u.
Formation energy (no corrections) = -77.3 kJ per mole of atoms

Nd5As4Se | GGA-PBE | relaxed

Cell lengths 4.2676, 6.0295, 21.3613 Å; angles 90.00, 90.00, 90.00 degrees
Last column: nearest neighbours and their distance in Å.
Space group Immm (No. 71)
Asymmetric unit:
Nd: 0.0000 0.0000 0.0000 [2 per cell]  4 As 3.00, 2 Se 3.01
Nd: 0.0000 0.0000 0.1997 [4 per cell]  6 As 3.01-3.03
Nd: 0.0000 0.0000 0.3959 [4 per cell]  4 As 2.96-3.02, 2 Se 3.08
As: 0.0000 0.5000 0.1999 [4 per cell]  6 Nd 2.96-3.03
As: 0.0000 0.5000 0.4010 [4 per cell]  6 Nd 3.00-3.03
Se: 0.0000 0.5000 0.0000 [2 per cell]  6 Nd 3.01-3.08

Computed properties:
Density of states at the Fermi level = 0.293 states/eV/atom
Total DFT energy (no corrections) = -124.23 eV per cell
Magnetic moment = 0.00 μB/f.u.
Formation energy (no corrections) = -156.2 kJ per mole of atoms

AsOsBr | GGA-PBE | relaxed

Cell lengths 2.9965, 3.6200, 12.6487 Å; angles 90.00, 90.00, 90.00 degrees
Last column: nearest neighbours and their distance in Å.
Space group Imm2 (No. 44)
Asymmetric unit:
As: 0.0000 0.0000 0.0000 [2 per cell]  4 Os 2.50
Os: 0.0000 0.0000 0.5666 [2 per cell]  1 Br 2.43, 4 As 2.50
Br: 0.0000 0.0000 0.7585 [2 per cell]  1 Os 2.43

Computed properties:
Density of states at the Fermi level = 0.350 states/eV/atom
ΔE to the lowest computed polymorph = 0.169 eV/atom
Total DFT energy (no corrections) = -32.66 eV per cell
Magnetic moment = 0.00 μB/f.u.
Formation energy (no corrections) = 39.3 kJ per mole of atoms

Ca2CdP2 | GGA-PBE | relaxed

Cell lengths 4.8337, 4.8337, 5.9994 Å; angles 90.00, 90.00, 120.00 degrees
Last column: nearest neighbours and their distance in Å.
Space group P-3m1 (No. 164)
Asymmetric unit:
Ca: 0.3333 0.6667 0.2841 [2 per cell]  5 P 2.82-3.04
Cd: 0.0000 0.0000 0.0000 [1 per cell]  6 P 3.09, 6 Ca 3.27
P: 0.3333 0.6667 0.7780 [2 per cell]  5 Ca 2.82-3.04, 3 Cd 3.09

Computed properties:
Density of states at the Fermi level = 0.041 states/eV/atom
ΔE to the lowest computed polymorph = 0.203 eV/atom
Total DFT energy (no corrections) = -19.27 eV per cell
Magnetic moment = 0.00 μB/f.u.
Formation energy = -0.706 eV/atom

Calculated volume values, unit A^3/atom, following the record order: 45.92 20.84 18.02 21.82 15.03 27.48 22.87 24.28.